Record 1
Entry from OQMD: a relaxed structure of TaGa2Tc (PBE).

The space group is F-43m (No. 216) and the conventional cell measures 6.2917, 6.2917 and 6.2917 Å, with angles of 90.00, 90.00 and 90.00 degrees. The asymmetric unit holds Ta at (0.0000, 0.0000, 0.0000), Ga at (0.0000, 0.0000, 0.5000), Ga at (0.2500, 0.2500, 0.7500) and Tc at (0.2500, 0.2500, 0.2500).

Its total energy is -28.4 eV/f.u.

=====

Record 2
Entry from OQMD: a relaxed structure of ThTaGa (PBE).

The space group is F-43m (No. 216) and the conventional cell measures 6.6578, 6.6578 and 6.6578 Å, with angles of 90.00, 90.00 and 90.00 degrees. The asymmetric unit holds Th at (0.0000, 0.0000, 0.0000), Ta at (0.0000, 0.0000, 0.5000) and Ga at (0.2500, 0.2500, 0.7500).

As for the energy above the most stable polymorph in this dataset: 0 meV per atom.

=====

Record 3
Entry from OQMD: a relaxed structure of Tm2TaGa2 (PBE).

The space group is P4/mbm (No. 127) and the conventional cell measures 7.1816, 7.1816 and 4.1312 Å, with angles of 90.00, 90.00 and 90.00 degrees. The asymmetric unit holds Tm at (0.1774, 0.3226, 0.0000), Ta at (0.0000, 0.0000, 0.5000) and Ga at (0.1285, 0.6285, 0.5000).

Its total energy is -28.2 eV/f.u.

=====

Record 4
Entry from OQMD: a relaxed structure of UTaGa (PBE).

The space group is F-43m (No. 216) and the conventional cell measures 6.5155, 6.5155 and 6.5155 Å, with angles of 90.00, 90.00 and 90.00 degrees. The asymmetric unit holds U at (0.0000, 0.0000, 0.0000), Ta at (0.2500, 0.2500, 0.2500) and Ga at (0.2500, 0.2500, 0.7500).

Its total energy is -22.6 eV/f.u.

=====

Record 5
Entry from OQMD: a relaxed structure of Ta2GaW (PBE).

The space group is F-43m (No. 216) and the conventional cell measures 6.4600, 6.4600 and 6.4600 Å, with angles of 90.00, 90.00 and 90.00 degrees. The asymmetric unit holds Ta at (0.0000, 0.0000, 0.0000), Ta at (0.2500, 0.2500, 0.2500), Ga at (0.0000, 0.0000, 0.5000) and W at (0.2500, 0.2500, 0.7500).

Its total energy is -39.1 eV/f.u.

=====

Record 6
Entry from OQMD: a relaxed structure of Y2Ta2Ga (PBE).

The space group is P6_3/mmc (No. 194) and the conventional cell measures 3.2035, 3.2035 and 25.4640 Å, with angles of 90.00, 90.00 and 120.00 degrees. The asymmetric unit holds Y at (0.3333, 0.6667, 0.0978), Ta at (0.3333, 0.6667, 0.6977) and Ga at (0.0000, 0.0000, 0.0000).

Its total energy is -38.0 eV/f.u.

=====

Number 1: total magnetization 0.01 μB per cell. Number 2: total magnetization 0.10 μB per cell. Number 3: total magnetization 2.39 μB per cell. Number 4: total magnetization 0.72 μB per cell. Number 5: total magnetization 0.21 μB per cell. Number 6: total magnetization 0.00 μB per cell.